[1]
# SnB4Pd | OQMD | PBE | optimized geometry
data_SnB4Pd
_chemical_formula_sum 'Sn2 B8 Pd2'
_symmetry_space_group_name_H-M 'I m m m'
_symmetry_Int_Tables_number 71
_symmetry_space_group_name_Hall '-I 2 2'
_cell_length_a 3.081
_cell_length_b 5.369
_cell_length_c 7.810
_cell_angle_alpha 90.00
_cell_angle_beta 90.00
_cell_angle_gamma 90.00
loop_
_atom_site_label
_atom_site_type_symbol
_atom_site_fract_x
_atom_site_fract_y
_atom_site_fract_z
Sn1 Sn 0.000 0.000 0.000
B1 B 0.000 0.334 0.247
Pd1 Pd 0.000 0.000 0.500
# VASP energy = -5.53 eV per atom
# theoretical density = 6.90 g/cm3


[2]
# SnBPd | OQMD | PBE | optimized geometry
data_SnBPd
_chemical_formula_sum 'Sn4 B4 Pd4'
_symmetry_space_group_name_H-M 'F -4 3 m'
_symmetry_Int_Tables_number 216
_symmetry_space_group_name_Hall 'F -4 2 3'
_cell_length_a 5.715
_cell_length_b 5.715
_cell_length_c 5.715
_cell_angle_alpha 90.00
_cell_angle_beta 90.00
_cell_angle_gamma 90.00
loop_
_atom_site_label
_atom_site_type_symbol
_atom_site_fract_x
_atom_site_fract_y
_atom_site_fract_z
Sn1 Sn 0.000 0.000 0.000
B1 B 0.250 0.250 0.750
Pd1 Pd 0.000 0.000 0.500
# VASP energy = -4.93 eV per atom
# theoretical density = 8.39 g/cm3


[3]
# SnBPd3 | OQMD | PBE | optimized geometry
data_SnBPd3
_chemical_formula_sum 'Sn2 B2 Pd6'
_symmetry_space_group_name_H-M 'P 4/m b m'
_symmetry_Int_Tables_number 127
_symmetry_space_group_name_Hall '-P 4 2ab'
_cell_length_a 5.868
_cell_length_b 5.868
_cell_length_c 4.454
_cell_angle_alpha 90.00
_cell_angle_beta 90.00
_cell_angle_gamma 90.00
loop_
_atom_site_label
_atom_site_type_symbol
_atom_site_fract_x
_atom_site_fract_y
_atom_site_fract_z
Sn1 Sn 0.000 0.500 0.000
B1 B 0.000 0.000 0.500
Pd1 Pd 0.000 0.000 0.000
Pd2 Pd 0.188 0.312 0.500
# VASP energy = -5.54 eV per atom
# theoretical density = 9.72 g/cm3


[4]
# SnB4Pd | OQMD | PBE | optimized geometry
data_SnB4Pd
_chemical_formula_sum 'Sn1 B4 Pd1'
_symmetry_space_group_name_H-M 'P 6/m m m'
_symmetry_Int_Tables_number 191
_symmetry_space_group_name_Hall '-P 6 2'
_cell_length_a 3.1529
_cell_length_b 3.1529
_cell_length_c 7.3352
_cell_angle_alpha 90.00
_cell_angle_beta 90.00
_cell_angle_gamma 120.00
loop_
_atom_site_label
_atom_site_type_symbol
_atom_site_fract_x
_atom_site_fract_y
_atom_site_fract_z
Sn1 Sn 0.0000 0.0000 0.0000
B1 B 0.3333 0.6667 0.2676
Pd1 Pd 0.0000 0.0000 0.5000
# VASP energy = -5.55 eV per atom
# theoretical density = 7.06 g/cm3


[5]
# Sn3BPd4 | OQMD | PBE | optimized geometry
data_Sn3BPd4
_chemical_formula_sum 'Sn6 B2 Pd8'
_symmetry_space_group_name_H-M 'I 4/m m m'
_symmetry_Int_Tables_number 139
_symmetry_space_group_name_Hall '-I 4 2'
_cell_length_a 5.129
_cell_length_b 5.129
_cell_length_c 11.823
_cell_angle_alpha 90.00
_cell_angle_beta 90.00
_cell_angle_gamma 90.00
loop_
_atom_site_label
_atom_site_type_symbol
_atom_site_fract_x
_atom_site_fract_y
_atom_site_fract_z
Sn1 Sn 0.000 0.000 0.000
Sn2 Sn 0.000 0.500 0.250
B1 B 0.000 0.000 0.500
Pd1 Pd 0.000 0.000 0.336
Pd2 Pd 0.000 0.500 0.000
# VASP energy = -5.03 eV per atom
# theoretical density = 8.46 g/cm3


[6]
# SrBPd | OQMD | PBE | optimized geometry
data_SrBPd
_chemical_formula_sum 'Sr4 B4 Pd4'
_symmetry_space_group_name_H-M 'F -4 3 m'
_symmetry_Int_Tables_number 216
_symmetry_space_group_name_Hall 'F -4 2 3'
_cell_length_a 6.245
_cell_length_b 6.245
_cell_length_c 6.245
_cell_angle_alpha 90.00
_cell_angle_beta 90.00
_cell_angle_gamma 90.00
loop_
_atom_site_label
_atom_site_type_symbol
_atom_site_fract_x
_atom_site_fract_y
_atom_site_fract_z
Sr1 Sr 0.000 0.000 0.000
B1 B 0.250 0.250 0.750
Pd1 Pd 0.000 0.000 0.500
# VASP energy = -4.03 eV per atom
# theoretical density = 5.59 g/cm3